Record 1
DFT (GGA-PBE) results for CrSiNi after structural relaxation.

Properties
ΔE_f (raw) (kJ per mole of atoms): -10
Crystal system: trigonal
Raw total energy (eV per atom): -7.048
Total moment (μB/f.u.): 0.0

a b c (Å): 2.5958 2.5958 17.7515
angles (deg): 90.00 90.00 120.00
Space group R3m (No. 160, hexagonal axes)
Unique sites:
Cr  0.0000  0.0000  0.0000 x3
Si  0.0000  0.0000  0.7797 x3
Ni  0.0000  0.0000  0.5516 x3

---

Record 2
DFT (GGA-PBE) results for CrSi2Ni after structural relaxation.

Properties
ΔE_f (raw) (kJ per mole of atoms): -24
Crystal system: orthorhombic
Raw total energy (eV per atom): -6.808
Total moment (μB/f.u.): 0.1

a b c (Å): 2.622 3.701 4.977
angles (deg): 90.00 90.00 90.00
Space group Pmmm (No. 47)
Unique sites:
Cr  0.000  0.000  0.000 x1
Si  0.500  0.500  0.240 x2
Ni  0.500  0.000  0.500 x1

---

Record 3
DFT (GGA-PBE) results for CrSiNi after structural relaxation.

Properties
ΔE_f (raw) (kJ per mole of atoms): -22
Crystal system: orthorhombic
Raw total energy (eV per atom): -7.166
Total moment (μB/f.u.): 0.0

a b c (Å): 5.097 3.553 7.645
angles (deg): 90.00 90.00 90.00
Space group Pnma (No. 62)
Unique sites:
Cr  0.106  0.250  0.065 x4
Si  0.127  0.250  0.398 x4
Ni  0.114  0.250  0.732 x4

---

> Look up the total moment of the third one.

0.0 μB/f.u.

---

> The highest raw total energy belongs to which entry?

CrSi2Ni

---

> Which value of raw total energy does entry 2 give?

-6.808 eV per atom